# NaAl2Sn2 (PBE, relaxed)
data_NaAl2Sn2
_chemical_formula_sum 'Na2 Al4 Sn4'
_space_group_name_H-M_alt 'I 4/m m m'
_space_group_IT_number 139
_space_group_name_Hall '-I 4 2'
_cell_length_a 4.192
_cell_length_b 4.192
_cell_length_c 14.882
_cell_angle_alpha 90.00
_cell_angle_beta 90.00
_cell_angle_gamma 90.00
loop_
_atom_site_label
_atom_site_type_symbol
_atom_site_fract_x
_atom_site_fract_y
_atom_site_fract_z
Na1 Na 0.000 0.000 0.000
Al1 Al 0.000 0.500 0.250
Sn1 Sn 0.000 0.000 0.378
# DFT formation energy, eV/atom: -0.004
# Energy above the most stable polymorph in this dataset, meV/atom: 0


# Ba2SCl2 (PBE, relaxed)
data_Ba2SCl2
_chemical_formula_sum 'Ba8 S4 Cl8'
_space_group_name_H-M_alt 'P 1 21/c 1'
_space_group_IT_number 14
_cell_length_a 11.285
_cell_length_b 7.852
_cell_length_c 7.946
_cell_angle_alpha 90.00
_cell_angle_beta 102.14
_cell_angle_gamma 90.00
loop_
_space_group_symop_operation_xyz
'x,y,z'
'-x,-y,-z'
'-x,y+1/2,-z+1/2'
'x,-y+1/2,z+1/2'
loop_
_atom_site_label
_atom_site_type_symbol
_atom_site_fract_x
_atom_site_fract_y
_atom_site_fract_z
Ba1 Ba 0.060 0.043 0.237
Ba2 Ba 0.358 0.059 0.723
S1 S 0.190 0.178 0.962
Cl1 Cl 0.133 0.693 0.060
Cl2 Cl 0.459 0.740 0.983
# Energy relative to the elements, uncorrected, eV/atom: -2.266


For the records above, the corresponding total energy values read -33.66; -91.98 eV for the cell shown.